{"formula": "LaErMg2", "functional": "meta-GGA SCAN", "state": "single point on PBEsol structure", "e_tot_ev_per_atom": -25.94, "m_tot_mub_per_fu": 0.0, "lattice": [[5.389, 0.000, 0.000], [2.695, 4.667, 0.000], [2.695, 1.556, 4.400]], "species": ["Er", "Mg", "Mg", "La"], "frac_coords": [[0.500, 0.500, 0.500], [0.250, 0.250, 0.250], [0.750, 0.750, 0.750], [0.000, 0.000, 0.000]]}

{"formula": "LaErSe2", "functional": "meta-GGA SCAN", "state": "single point on PBEsol structure", "raw_formation_energy_mev_per_atom": -2051, "e_tot_ev_per_atom": -35.45, "m_tot_mub_per_fu": 0.0, "lattice": [[-1.204, -3.849, 0.386], [0.589, -1.966, 3.493], [-6.380, 0.219, 3.549]], "species": ["Se", "Se", "La", "Er"], "frac_coords": [[0.742, 0.742, 0.773], [0.258, 0.258, 0.227], [0.500, 0.500, 0.500], [0.000, 0.000, 0.000]]}

{"formula": "LaErTl2", "functional": "meta-GGA SCAN", "state": "single point on PBEsol structure", "e_tot_ev_per_atom": -60.10, "m_tot_mub_per_fu": 0.0, "lattice": [[-0.310, 4.953, -2.086], [-4.518, 1.614, -2.441], [-3.137, 3.707, 2.322]], "species": ["Tl", "Tl", "La", "Er"], "frac_coords": [[0.750, 0.750, 0.750], [0.250, 0.250, 0.250], [0.000, 0.000, 0.000], [0.500, 0.500, 0.500]]}

{"formula": "LiErO2", "functional": "meta-GGA SCAN", "state": "single point on PBEsol structure", "polymorph_energy_mev_per_atom": 5, "raw_formation_energy_mev_per_atom": -3252, "e_tot_ev_per_atom": -19.55, "m_tot_mub_per_fu": 0.0, "lattice": [[4.369, 0.000, 0.000], [0.000, 4.369, 0.000], [-2.185, -2.185, 5.069]], "species": ["Er", "Er", "O", "O", "O", "O", "Li", "Li"], "frac_coords": [[0.250, 0.750, 0.500], [0.000, 0.000, 0.000], [0.473, 0.973, 0.946], [0.027, 0.527, 0.054], [0.777, 0.777, 0.554], [0.223, 0.223, 0.446], [0.500, 0.500, 0.000], [0.750, 0.250, 0.500]]}

{"formula": "LiErO2", "functional": "meta-GGA SCAN", "state": "single point on PBEsol structure", "polymorph_energy_mev_per_atom": 0, "raw_formation_energy_mev_per_atom": -3257, "e_tot_ev_per_atom": -19.55, "m_tot_mub_per_fu": 0.0, "lattice": [[6.023, 0.000, 0.016], [0.000, 6.098, 0.000], [-2.931, 0.000, 5.338]], "species": ["Li", "Li", "Li", "Li", "Er", "Er", "Er", "Er", "O", "O", "O", "O", "O", "O", "O", "O"], "frac_coords": [[0.718, 0.150, 0.450], [0.282, 0.650, 0.050], [0.718, 0.350, 0.950], [0.282, 0.850, 0.550], [0.238, 0.371, 0.484], [0.762, 0.629, 0.516], [0.762, 0.871, 0.016], [0.238, 0.129, 0.984], [0.005, 0.663, 0.331], [0.005, 0.837, 0.831], [0.542, 0.611, 0.735], [0.458, 0.389, 0.265], [0.542, 0.889, 0.235], [0.458, 0.111, 0.765], [0.995, 0.337, 0.669], [0.995, 0.163, 0.169]]}

{"formula": "LiErP4O12", "functional": "meta-GGA SCAN", "state": "single point on PBEsol structure", "raw_formation_energy_mev_per_atom": -2658, "e_tot_ev_per_atom": -12.05, "m_tot_mub_per_fu": 0.0, "lattice": [[7.022, 0.000, 0.000], [3.511, 8.130, -0.031], [3.511, 2.574, 7.791]], "species": ["P", "P", "P", "P", "P", "P", "P", "P", "O", "O", "O", "O", "O", "O", "O", "O", "O", "O", "O", "O", "O", "O", "O", "O", "O", "O", "O", "O", "O", "O", "O", "O", "Li", "Li", "Er", "Er"], "frac_coords": [[0.577, 0.892, 0.844], [0.312, 0.289, 0.412], [0.013, 0.211, 0.088], [0.687, 0.392, 0.344], [0.313, 0.608, 0.656], [0.987, 0.789, 0.912], [0.423, 0.108, 0.156], [0.688, 0.711, 0.588], [0.378, 0.835, 0.961], [0.006, 0.029, 0.205], [0.833, 0.357, 0.165], [0.760, 0.529, 0.705], [0.826, 0.335, 0.461], [0.355, 0.143, 0.335], [0.167, 0.643, 0.835], [0.448, 0.426, 0.702], [0.996, 0.243, 0.915], [0.547, 0.256, 0.425], [0.453, 0.744, 0.575], [0.846, 0.743, 0.415], [0.240, 0.471, 0.295], [0.622, 0.165, 0.039], [0.576, 0.074, 0.798], [0.004, 0.757, 0.085], [0.154, 0.257, 0.585], [0.645, 0.857, 0.665], [0.552, 0.574, 0.298], [0.174, 0.665, 0.539], [0.773, 0.756, 0.925], [0.994, 0.971, 0.795], [0.227, 0.244, 0.075], [0.424, 0.926, 0.202], [0.000, 0.500, 0.500], [0.000, 0.000, 0.000], [0.227, 0.750, 0.250], [0.773, 0.250, 0.750]]}

What did the third record say?
{"formula": "LaErTl2", "functional": "meta-GGA SCAN", "state": "single point on PBEsol structure", "e_tot_ev_per_atom": -60.10, "m_tot_mub_per_fu": 0.0, "lattice": [[-0.310, 4.953, -2.086], [-4.518, 1.614, -2.441], [-3.137, 3.707, 2.322]], "species": ["Tl", "Tl", "La", "Er"], "frac_coords": [[0.750, 0.750, 0.750], [0.250, 0.250, 0.250], [0.000, 0.000, 0.000], [0.500, 0.500, 0.500]]}